Record 1
YCrIr2Pt: relaxed, PBE.

```
YCrIr2Pt
1.0
4.533 0.000 0.000
0.000 4.533 0.000
0.000 0.000 4.708
Y Cr Ir Pt
1 1 2 1
Direct
0.000 0.000 0.000
0.500 0.500 0.500
0.000 0.500 0.500
0.500 0.000 0.500
0.500 0.500 0.000
```

Output
Total energy: -7.78 eV per atom
Energy of formation: 0.19 eV/atom
Density: 12369 kg/m³
Total magnetic moment: 0.00 μB per cell
Crystal system: tetragonal


Record 2
Rb4Np3USe8: relaxed, PBE.

```
Rb4Np3USe8
1.0
4.280 2.471 8.014
-4.280 2.471 8.014
0.000 -4.942 8.014
Rb Np U Se
4 3 1 8
Direct
0.000 0.000 0.000
0.000 0.500 0.500
0.500 0.000 0.500
0.500 0.500 0.000
0.000 0.000 0.500
0.000 0.500 0.000
0.500 0.000 0.000
0.500 0.500 0.500
0.232 0.232 0.232
0.235 0.731 0.731
0.269 0.269 0.765
0.269 0.765 0.269
0.731 0.235 0.731
0.731 0.731 0.235
0.765 0.269 0.269
0.768 0.768 0.768
```

Output
Total energy: -6.35 eV per atom
Density: 6277 kg/m³
Total magnetic moment: 15.00 μB per cell
Crystal system: trigonal
E_form (uncorrected): -1.2343 eV per atom


Record 3
AlRhBr2: relaxed, PBE.

```
AlRhBr2
1.0
7.536 -1.835 0.000
7.536 1.835 0.000
-0.837 0.000 3.483
Al Rh Br
1 1 2
Direct
0.000 0.000 0.000
0.500 0.500 0.500
0.141 0.141 0.639
0.859 0.859 0.361
```

Output
Total energy: -3.88 eV per atom
Density: 4993 kg/m³
Relative energy among the computed polymorphs: 106.8 meV per atom
Total magnetic moment: 0.64 μB per cell
Crystal system: monoclinic
E_form (uncorrected): -0.2682 eV per atom


Record 4
NaGaGeAu: relaxed, PBE.

```
NaGaGeAu
1.0
0.000 3.385 3.385
3.385 0.000 3.385
3.385 3.385 0.000
Na Ga Ge Au
1 1 1 1
Direct
0.000 0.000 0.000
0.750 0.750 0.750
0.500 0.500 0.500
0.250 0.250 0.250
```

Output
Total energy: -3.09 eV per atom
Energy of formation: -0.03 eV/atom
Density: 7756 kg/m³
Total magnetic moment: 0.00 μB per cell
Crystal system: cubic


Record 5
PmSnPd6: relaxed, PBE.

```
PmSnPd6
1.0
2.745 1.585 6.908
-2.745 1.585 6.908
0.000 -3.169 6.908
Pm Sn Pd
1 1 6
Direct
0.000 0.000 0.000
0.500 0.500 0.500
0.059 0.569 0.569
0.431 0.431 0.941
0.431 0.941 0.431
0.569 0.059 0.569
0.569 0.569 0.059
0.941 0.431 0.431
```

Output
Total energy: -5.26 eV per atom
Energy of formation: -0.27 eV/atom
Density: 8311 kg/m³
Relative energy among the computed polymorphs: 375.1 meV per atom
Total magnetic moment: 0.00 μB per cell
Crystal system: trigonal


Record 6
ThBiPdPt: relaxed, PBE.

```
ThBiPdPt
1.0
0.000 3.562 3.562
3.562 0.000 3.562
3.562 3.562 0.000
Th Bi Pd Pt
1 1 1 1
Direct
0.000 0.000 0.000
0.500 0.500 0.500
0.250 0.250 0.250
0.750 0.750 0.750
```

Output
Total energy: -6.36 eV per atom
Energy of formation: -0.72 eV/atom
Density: 13643 kg/m³
Total magnetic moment: 0.00 μB per cell
Crystal system: cubic


Record 7
Nd2InCu3Ge4: relaxed, PBE.

```
Nd2InCu3Ge4
1.0
4.263 0.000 0.000
0.000 4.263 0.000
0.000 0.000 10.620
Nd In Cu Ge
2 1 3 4
Direct
0.000 0.500 0.236
0.500 0.000 0.764
0.000 0.000 0.500
0.000 0.500 0.879
0.500 0.000 0.121
0.500 0.500 0.500
0.000 0.000 0.000
0.000 0.500 0.655
0.500 0.000 0.345
0.500 0.500 0.000
```

Output
Total energy: -4.73 eV per atom
Energy of formation: -0.43 eV/atom
Density: 7611 kg/m³
Total magnetic moment: 0.00 μB per cell
Crystal system: tetragonal


Record 8
SrDyPt: relaxed, PBE.

```
SrDyPt
1.0
4.223 0.000 0.000
-2.112 3.657 0.000
0.000 0.000 6.753
Sr Dy Pt
1 1 1
Direct
0.000 0.000 0.000
0.667 0.333 0.468
0.333 0.667 0.276
```

Output
Total energy: -4.80 eV per atom
Energy of formation: -0.69 eV/atom
Density: 7087 kg/m³
Relative energy among the computed polymorphs: 125.5 meV per atom
Total magnetic moment: 0.00 μB per cell
Crystal system: trigonal


Record 9
OsAuSe2: relaxed, PBE.

```
OsAuSe2
1.0
-2.949 2.949 5.500
2.949 -2.949 5.500
2.949 2.949 -5.500
Os Au Se
2 2 4
Direct
0.000 0.000 0.000
0.750 0.250 0.500
0.250 0.750 0.500
0.500 0.500 0.000
0.089 0.625 0.964
0.375 0.339 0.464
0.661 0.125 0.036
0.875 0.911 0.536
```

Output
Total energy: -5.01 eV per atom
Density: 9461 kg/m³
Relative energy among the computed polymorphs: 264.6 meV per atom
Total magnetic moment: 0.00 μB per cell
Crystal system: tetragonal
E_form (uncorrected): 0.3566 eV per atom


Record 10
Pm2TeH2: relaxed, PBE.

```
Pm2TeH2
1.0
0.000 4.723 5.095
4.199 0.000 5.095
4.199 4.723 0.000
Pm Te H
4 2 4
Direct
0.069 0.069 0.681
0.319 0.319 0.931
0.681 0.681 0.069
0.931 0.931 0.319
0.375 0.375 0.375
0.625 0.625 0.625
0.011 0.739 0.011
0.261 0.989 0.261
0.739 0.011 0.739
0.989 0.261 0.989
```

Output
Total energy: -4.73 eV per atom
Density: 6896 kg/m³
Relative energy among the computed polymorphs: 16.9 meV per atom
Total magnetic moment: 0.00 μB per cell
Crystal system: orthorhombic